(1)
# PBE RbTcBr6, relaxed
data_RbTcBr6
_chemical_formula_sum 'Rb2 Tc2 Br12'
_space_group_name_H-M_alt 'C 1 2/m 1'
_space_group_IT_number 12
_cell_length_a 9.108
_cell_length_b 10.032
_cell_length_c 6.478
_cell_angle_alpha 90.00
_cell_angle_beta 104.62
_cell_angle_gamma 90.00
loop_
_space_group_symop_operation_xyz
'x,y,z'
'-x,-y,-z'
'-x,y,-z'
'x,-y,z'
'x+1/2,y+1/2,z'
'-x+1/2,-y+1/2,-z'
'-x+1/2,y+1/2,-z'
'x+1/2,-y+1/2,z'
loop_
_atom_site_label
_atom_site_type_symbol
_atom_site_fract_x
_atom_site_fract_y
_atom_site_fract_z
Rb1 Rb 0.000 0.000 0.000
Tc1 Tc 0.000 0.500 0.500
Br1 Br 0.154 0.500 0.234
Br2 Br 0.168 0.322 0.711
# - excess energy over the best structure of this formula in the dataset (kJ/mol of atoms) = 0.0
# - energy relative to the elements, uncorrected (eV per atom) = -0.6410
# - final energy (eV per atom) = -3.31

(2)
# PBE BeAgAu4, relaxed
data_BeAgAu4
_chemical_formula_sum 'Be4 Ag4 Au16'
_space_group_name_H-M_alt 'F -4 3 m'
_space_group_IT_number 216
_space_group_name_Hall 'F -4 2 3'
_cell_length_a 7.722
_cell_length_b 7.722
_cell_length_c 7.722
_cell_angle_alpha 90.00
_cell_angle_beta 90.00
_cell_angle_gamma 90.00
loop_
_atom_site_label
_atom_site_type_symbol
_atom_site_fract_x
_atom_site_fract_y
_atom_site_fract_z
Be1 Be 0.000 0.000 0.000
Ag1 Ag 0.250 0.250 0.750
Au1 Au 0.125 0.125 0.375
# - excess energy over the best structure of this formula in the dataset (kJ/mol of atoms) = 37.8
# - final energy (eV per atom) = -2.92
# - ΔE_f (eV/atom) = 0.357

(3)
# PBE LaTb2Ho9, relaxed
data_LaTb2Ho9
_chemical_formula_sum 'La1 Tb2 Ho9'
_space_group_name_H-M_alt 'P 4/m m m'
_space_group_IT_number 123
_space_group_name_Hall '-P 4 2'
_cell_length_a 5.021
_cell_length_b 5.021
_cell_length_c 15.079
_cell_angle_alpha 90.00
_cell_angle_beta 90.00
_cell_angle_gamma 90.00
loop_
_atom_site_label
_atom_site_type_symbol
_atom_site_fract_x
_atom_site_fract_y
_atom_site_fract_z
La1 La 0.000 0.000 0.000
Tb1 Tb 0.000 0.000 0.334
Ho1 Ho 0.000 0.500 0.170
Ho2 Ho 0.000 0.500 0.500
Ho3 Ho 0.500 0.500 0.000
Ho4 Ho 0.500 0.500 0.336
# - excess energy over the best structure of this formula in the dataset (kJ/mol of atoms) = 0.0
# - final energy (eV per atom) = -4.59
# - ΔE_f (eV/atom) = 0.026

Question: Which value of excess energy over the best structure of this formula in the dataset does entry 2 give?
Answer: 37.8 kJ/mol of atoms

Question: Among the records above, which one has the lowest final energy?
Answer: LaTb2Ho9